Entry 1:
{"formula": "ZrCo2As", "functional": "PBE", "state": "relaxed", "e_form_kj_per_mol_fu": -131, "lattice": [[1.971, 1.138, 4.510], [-1.971, 1.138, 4.510], [0.000, -2.276, 4.510]], "species": ["Zr", "Co", "Co", "As"], "frac_coords": [[0.000, 0.000, 0.000], [0.490, 0.490, 0.490], [0.787, 0.787, 0.787], [0.210, 0.210, 0.210]]}


Entry 2:
{"formula": "TiZn2Cu", "functional": "PBE", "state": "relaxed", "e_form_kj_per_mol_fu": -58, "lattice": [[2.792, 0.000, 0.000], [0.000, 2.792, 0.000], [0.000, 0.000, 7.334]], "species": ["Ti", "Zn", "Zn", "Cu"], "frac_coords": [[0.000, 0.000, 0.000], [0.500, 0.500, 0.270], [0.500, 0.500, 0.730], [0.000, 0.000, 0.500]]}


Entry 3:
{"formula": "LiPaHgCl6", "functional": "PBE", "state": "relaxed", "formation_energy_uncorrected_mev_per_atom": -1633, "lattice": [[6.671, 0.000, 0.000], [-3.335, 5.777, 0.000], [0.000, 0.000, 18.721]], "species": ["Li", "Li", "Pa", "Pa", "Hg", "Hg", "Cl", "Cl", "Cl", "Cl", "Cl", "Cl", "Cl", "Cl", "Cl", "Cl", "Cl", "Cl"], "frac_coords": [[0.333, 0.667, 0.250], [0.667, 0.333, 0.750], [0.333, 0.667, 0.750], [0.667, 0.333, 0.250], [0.000, 0.000, 0.000], [0.000, 0.000, 0.500], [0.006, 0.363, 0.672], [0.006, 0.643, 0.828], [0.357, 0.363, 0.828], [0.357, 0.994, 0.672], [0.363, 0.006, 0.172], [0.363, 0.357, 0.328], [0.637, 0.643, 0.672], [0.637, 0.994, 0.828], [0.643, 0.006, 0.328], [0.643, 0.637, 0.172], [0.994, 0.357, 0.172], [0.994, 0.637, 0.328]]}